1.
# GGA-PBE AcLaBi2, optimized geometry
# electronic total energy = -5.227 eV/atom
# M_tot = 0.00 μB/f.u.
# ρ = 8352 kg/m3
# energy relative to the elements = -4.1 eV per formula unit
# energy relative to the lowest polymorph listed for this composition = 0.000 eV per atom
data_AcLaBi2
_space_group_name_H-M_alt 'P 1'
_space_group_IT_number 1
_space_group_name_Hall 'P 1'
_cell_length_a 4.795
_cell_length_b 4.795
_cell_length_c 8.301
_cell_angle_alpha 73.21
_cell_angle_beta 73.21
_cell_angle_gamma 60.02
loop_
_atom_site_label
_atom_site_fract_x
_atom_site_fract_y
_atom_site_fract_z
_atom_site_occupancy
Bi1 0.747 0.747 0.760 1
Ac1 0.500 0.500 0.500 1
La1 0.000 0.000 0.000 1
Bi2 0.253 0.253 0.240 1

=====

2.
# GGA-PBE Ag2F5, optimized geometry
# electronic total energy = -3.243 eV/atom
# M_tot = 0.00 μB/f.u.
# ρ = 4504 kg/m3
# formation energy without anion corrections = -1092 meV/atom
# energy relative to the lowest polymorph listed for this composition = 0.000 eV per atom
data_Ag2F5
_space_group_name_H-M_alt 'P 1'
_space_group_IT_number 1
_space_group_name_Hall 'P 1'
_cell_length_a 5.461
_cell_length_b 7.587
_cell_length_c 11.804
_cell_angle_alpha 79.98
_cell_angle_beta 83.25
_cell_angle_gamma 72.49
loop_
_atom_site_label
_atom_site_fract_x
_atom_site_fract_y
_atom_site_fract_z
_atom_site_occupancy
Ag1 0.500 0.500 0.500 1
F1 0.093 0.020 0.173 1
F2 0.848 0.904 0.609 1
Ag2 0.500 0.000 0.000 1
Ag3 0.500 0.500 0.000 1
Ag4 0.500 0.000 0.500 1
Ag5 0.000 0.250 0.250 1
F3 0.724 0.891 0.364 1
F4 0.535 0.274 0.423 1
Ag6 0.000 0.750 0.250 1
F5 0.276 0.109 0.636 1
F6 0.907 0.980 0.827 1
F7 0.284 0.667 0.377 1
Ag7 0.000 0.750 0.750 1
F8 0.535 0.774 0.923 1
F9 0.465 0.226 0.077 1
F10 0.276 0.609 0.136 1
F11 0.152 0.096 0.391 1
Ag8 0.000 0.250 0.750 1
F12 0.907 0.480 0.327 1
F13 0.093 0.520 0.673 1
F14 0.849 0.404 0.109 1
F15 0.284 0.167 0.877 1
F16 0.724 0.391 0.864 1
F17 0.716 0.833 0.123 1
F18 0.716 0.333 0.623 1
F19 0.465 0.726 0.577 1
F20 0.151 0.596 0.891 1

=====

3.
# GGA-PBE Pr4OsPb, optimized geometry
# electronic total energy = -5.945 eV/atom
# M_tot = 0.00 μB/f.u.
# ρ = 8397 kg/m3
# energy relative to the elements = -1.6 eV per formula unit
data_Pr4OsPb
_space_group_name_H-M_alt 'P 1'
_space_group_IT_number 1
_space_group_name_Hall 'P 1'
_cell_length_a 6.373
_cell_length_b 9.038
_cell_length_c 8.372
_cell_angle_alpha 114.02
_cell_angle_beta 101.09
_cell_angle_gamma 110.41
loop_
_atom_site_label
_atom_site_fract_x
_atom_site_fract_y
_atom_site_fract_z
_atom_site_occupancy
Pr1 0.285 0.650 0.859 1
Pr2 0.781 0.722 0.661 1
Pr3 0.219 0.278 0.339 1
Pr4 0.074 0.209 0.859 1
Pr5 0.380 0.939 0.661 1
Pb1 0.377 0.627 0.254 1
Pr6 0.926 0.791 0.141 1
Os1 0.251 0.001 0.002 1
Pr7 0.620 0.061 0.339 1
Pr8 0.715 0.350 0.141 1
Os2 0.749 0.999 0.998 1
Pb2 0.623 0.373 0.746 1

=====

4.
# GGA-PBE Er2Ge3Rh2, optimized geometry
# electronic total energy = -6.161 eV/atom
# M_tot = 0.00 μB/f.u.
# ρ = 9776 kg/m3
# energy relative to the elements = -5.4 eV per formula unit
data_Er2Ge3Rh2
_space_group_name_H-M_alt 'P 1'
_space_group_IT_number 1
_space_group_name_Hall 'P 1'
_cell_length_a 4.210
_cell_length_b 5.444
_cell_length_c 6.663
_cell_angle_alpha 111.91
_cell_angle_beta 90.00
_cell_angle_gamma 112.74
loop_
_atom_site_label
_atom_site_fract_x
_atom_site_fract_y
_atom_site_fract_z
_atom_site_occupancy
Rh1 0.134 0.269 0.220 1
Ge1 0.382 0.764 0.551 1
Rh2 0.866 0.731 0.780 1
Ge2 0.618 0.236 0.449 1
Er1 0.152 0.305 0.778 1
Ge3 0.500 0.000 0.000 1
Er2 0.848 0.695 0.222 1

=====

5.
# GGA-PBE Cs5Cd5Hg2, optimized geometry
# electronic total energy = -0.856 eV/atom
# M_tot = 0.00 μB/f.u.
# ρ = 4650 kg/m3
# energy relative to the elements = -0.8 eV per formula unit
data_Cs5Cd5Hg2
_space_group_name_H-M_alt 'P 1'
_space_group_IT_number 1
_space_group_name_Hall 'P 1'
_cell_length_a 5.046
_cell_length_b 10.099
_cell_length_c 12.132
_cell_angle_alpha 93.55
_cell_angle_beta 78.00
_cell_angle_gamma 75.53
loop_
_atom_site_label
_atom_site_fract_x
_atom_site_fract_y
_atom_site_fract_z
_atom_site_occupancy
Cs1 0.390 0.310 0.911 1
Cd1 0.046 0.257 0.651 1
Cd2 0.000 0.000 0.000 1
Cd3 0.218 0.724 0.841 1
Cs2 0.610 0.690 0.089 1
Hg1 0.158 0.447 0.237 1
Cd4 0.782 0.276 0.159 1
Cs3 0.697 0.930 0.675 1
Hg2 0.842 0.553 0.763 1
Cs4 0.500 0.500 0.500 1
Cd5 0.954 0.743 0.349 1
Cs5 0.303 0.070 0.325 1

=====

6.
# GGA-PBE CsTl2Hg, optimized geometry
# electronic total energy = -1.427 eV/atom
# M_tot = 0.00 μB/f.u.
# ρ = 8497 kg/m3
# energy relative to the elements = 0.2 eV per formula unit
# energy relative to the lowest polymorph listed for this composition = 0.149 eV per atom
data_CsTl2Hg
_space_group_name_H-M_alt 'P 1'
_space_group_IT_number 1
_space_group_name_Hall 'P 1'
_cell_length_a 5.898
_cell_length_b 5.898
_cell_length_c 5.898
_cell_angle_alpha 60.00
_cell_angle_beta 60.00
_cell_angle_gamma 60.00
loop_
_atom_site_label
_atom_site_fract_x
_atom_site_fract_y
_atom_site_fract_z
_atom_site_occupancy
Hg1 0.500 0.500 0.500 1
Cs1 0.000 0.000 0.000 1
Tl1 0.750 0.750 0.750 1
Tl2 0.250 0.250 0.250 1

=====

7.
# GGA-PBE Pa2CuSe4S, optimized geometry
# electronic total energy = -6.308 eV/atom
# M_tot = 0.00 μB/f.u.
# ρ = 8366 kg/m3
# formation energy without anion corrections = -1164 meV/atom
data_Pa2CuSe4S
_space_group_name_H-M_alt 'P 1'
_space_group_IT_number 1
_space_group_name_Hall 'P 1'
_cell_length_a 3.898
_cell_length_b 6.238
_cell_length_c 8.393
_cell_angle_alpha 64.15
_cell_angle_beta 76.57
_cell_angle_gamma 71.79
loop_
_atom_site_label
_atom_site_fract_x
_atom_site_fract_y
_atom_site_fract_z
_atom_site_occupancy
Se1 0.165 0.986 0.683 1
Se2 0.631 0.682 0.055 1
Pa1 0.158 0.373 0.311 1
Se3 0.369 0.318 0.945 1
Cu1 0.000 0.000 0.000 1
Se4 0.835 0.014 0.317 1
Pa2 0.842 0.627 0.689 1
S1 0.500 0.500 0.500 1

=====

8.
# GGA-PBE Er2InGa2Pd5, optimized geometry
# electronic total energy = -5.138 eV/atom
# M_tot = 0.00 μB/f.u.
# ρ = 10157 kg/m3
# energy relative to the elements = -7.5 eV per formula unit
data_Er2InGa2Pd5
_space_group_name_H-M_alt 'P 1'
_space_group_IT_number 1
_space_group_name_Hall 'P 1'
_cell_length_a 3.772
_cell_length_b 9.858
_cell_length_c 9.858
_cell_angle_alpha 90.00
_cell_angle_beta 90.00
_cell_angle_gamma 90.00
loop_
_atom_site_label
_atom_site_fract_x
_atom_site_fract_y
_atom_site_fract_z
_atom_site_occupancy
In1 0.000 0.000 0.000 1
Pd1 0.500 0.210 0.065 1
Pd2 0.500 0.500 0.000 1
Pd3 0.500 0.710 0.435 1
Pd4 0.500 0.000 0.500 1
Ga1 0.000 0.623 0.877 1
Pd5 0.500 0.435 0.290 1
Ga2 0.000 0.877 0.377 1
Ga3 0.000 0.123 0.623 1
Pd6 0.500 0.790 0.935 1
Pd7 0.500 0.290 0.565 1
Pd8 0.500 0.065 0.790 1
Er1 0.000 0.825 0.675 1
Er2 0.000 0.175 0.325 1
In2 0.000 0.500 0.500 1
Pd9 0.500 0.935 0.210 1
Er3 0.000 0.325 0.825 1
Ga4 0.000 0.377 0.123 1
Er4 0.000 0.675 0.175 1
Pd10 0.500 0.565 0.710 1

=====

9.
# GGA-PBE CrAgPd2N, optimized geometry
# electronic total energy = -6.229 eV/atom
# M_tot = 2.79 μB/f.u.
# ρ = 9051 kg/m3
# formation energy without anion corrections = 9 meV/atom
data_CrAgPd2N
_space_group_name_H-M_alt 'P 1'
_space_group_IT_number 1
_space_group_name_Hall 'P 1'
_cell_length_a 4.333
_cell_length_b 4.333
_cell_length_c 3.780
_cell_angle_alpha 90.00
_cell_angle_beta 90.00
_cell_angle_gamma 90.00
loop_
_atom_site_label
_atom_site_fract_x
_atom_site_fract_y
_atom_site_fract_z
_atom_site_occupancy
Pd1 0.000 0.500 0.000 1
Ag1 0.500 0.500 0.500 1
Pd2 0.500 0.000 0.000 1
N1 0.000 0.000 0.000 1
Cr1 0.000 0.000 0.500 1

=====

10.
# GGA-PBE PrGeS3, optimized geometry
# electronic total energy = -5.518 eV/atom
# M_tot = 0.00 μB/f.u.
# ρ = 4315 kg/m3
# formation energy without anion corrections = -1162 meV/atom
# energy relative to the lowest polymorph listed for this composition = 0.000 eV per atom
data_PrGeS3
_space_group_name_H-M_alt 'P 1'
_space_group_IT_number 1
_space_group_name_Hall 'P 1'
_cell_length_a 6.795
_cell_length_b 7.591
_cell_length_c 9.256
_cell_angle_alpha 90.00
_cell_angle_beta 93.00
_cell_angle_gamma 90.00
loop_
_atom_site_label
_atom_site_fract_x
_atom_site_fract_y
_atom_site_fract_z
_atom_site_occupancy
Ge1 0.081 0.104 0.428 1
S1 0.147 0.977 0.221 1
S2 0.141 0.677 0.571 1
S3 0.359 0.177 0.929 1
Ge2 0.419 0.604 0.072 1
S4 0.151 0.689 0.940 1
S5 0.859 0.323 0.429 1
S6 0.849 0.311 0.060 1
S7 0.853 0.023 0.779 1
S8 0.641 0.823 0.071 1
S9 0.353 0.477 0.279 1
Pr1 0.039 0.374 0.753 1
Pr2 0.961 0.626 0.247 1
S10 0.647 0.523 0.721 1
Pr3 0.539 0.126 0.253 1
Pr4 0.461 0.874 0.747 1
S11 0.651 0.811 0.440 1
Ge3 0.581 0.396 0.928 1
Ge4 0.919 0.896 0.572 1
S12 0.349 0.189 0.560 1

=====

11.
# GGA-PBE Ac2SnPd, optimized geometry
# electronic total energy = -5.014 eV/atom
# M_tot = 0.00 μB/f.u.
# ρ = 9153 kg/m3
# energy relative to the elements = -2.6 eV per formula unit
data_Ac2SnPd
_space_group_name_H-M_alt 'P 1'
_space_group_IT_number 1
_space_group_name_Hall 'P 1'
_cell_length_a 3.882
_cell_length_b 3.882
_cell_length_c 8.177
_cell_angle_alpha 90.00
_cell_angle_beta 90.00
_cell_angle_gamma 90.00
loop_
_atom_site_label
_atom_site_fract_x
_atom_site_fract_y
_atom_site_fract_z
_atom_site_occupancy
Ac1 0.000 0.000 0.228 1
Ac2 0.000 0.000 0.772 1
Pd1 0.500 0.500 0.000 1
Sn1 0.500 0.500 0.500 1

=====

12.
# GGA-PBE PmTlAgCl6, optimized geometry
# electronic total energy = -3.669 eV/atom
# M_tot = 0.00 μB/f.u.
# ρ = 4022 kg/m3
# formation energy without anion corrections = -1331 meV/atom
data_PmTlAgCl6
_space_group_name_H-M_alt 'P 1'
_space_group_IT_number 1
_space_group_name_Hall 'P 1'
_cell_length_a 6.931
_cell_length_b 6.931
_cell_length_c 13.299
_cell_angle_alpha 90.00
_cell_angle_beta 90.00
_cell_angle_gamma 120.00
loop_
_atom_site_label
_atom_site_fract_x
_atom_site_fract_y
_atom_site_fract_z
_atom_site_occupancy
Cl1 0.007 0.359 0.635 1
Cl2 0.359 0.352 0.365 1
Cl3 0.359 0.007 0.135 1
Cl4 0.352 0.993 0.635 1
Pm1 0.667 0.333 0.750 1
Cl5 0.641 0.648 0.635 1
Cl6 0.648 0.007 0.365 1
Cl7 0.352 0.359 0.865 1
Cl8 0.641 0.993 0.865 1
Cl9 0.993 0.352 0.135 1
Cl10 0.648 0.641 0.135 1
Ag1 0.667 0.333 0.250 1
Pm2 0.333 0.667 0.250 1
Cl11 0.007 0.648 0.865 1
Cl12 0.993 0.641 0.365 1
Tl1 0.000 0.000 0.000 1
Tl2 0.000 0.000 0.500 1
Ag2 0.333 0.667 0.750 1